No. 1
# CaAl10Re2 (PBE-GGA, optimized geometry)
# * formation energy from the elements: -0.2783 eV/atom
# * electronic total energy: -271.8 eV per cell
data_CaAl10Re2
_chemical_formula_sum 'Ca4 Al40 Re8'
_symmetry_space_group_name_H-M 'C m c m'
_symmetry_Int_Tables_number 63
_symmetry_space_group_name_Hall '-C 2c 2'
_cell_length_a 9.197
_cell_length_b 10.395
_cell_length_c 9.257
_cell_angle_alpha 90.00
_cell_angle_beta 90.00
_cell_angle_gamma 90.00
loop_
_atom_site_label
_atom_site_fract_x
_atom_site_fract_y
_atom_site_fract_z
Ca1 0.000 0.128 0.250
Al1 0.000 0.154 0.597
Al2 0.000 0.376 0.037
Al3 0.159 0.372 0.750
Al4 0.227 0.365 0.250
Al5 0.228 0.000 0.000
Re1 0.250 0.250 0.000

---

No. 2
# AcTcClO4 (PBE-GGA, optimized geometry)
# * electronic total energy: -204.1 eV per cell
# * raw formation energy: -2125.5 meV/atom
data_AcTcClO4
_chemical_formula_sum 'Ac4 Tc4 Cl4 O16'
_symmetry_space_group_name_H-M 'C 1 2/m 1'
_symmetry_Int_Tables_number 12
_symmetry_space_group_name_Hall '-C 2y'
_cell_length_a 10.930
_cell_length_b 7.743
_cell_length_c 7.243
_cell_angle_alpha 90.00
_cell_angle_beta 103.91
_cell_angle_gamma 90.00
loop_
_atom_site_label
_atom_site_fract_x
_atom_site_fract_y
_atom_site_fract_z
Ac1 0.221 0.000 0.118
Tc1 0.133 0.500 0.272
Cl1 0.018 0.000 0.764
O1 0.032 0.500 0.783
O2 0.191 0.325 0.145
O3 0.211 0.500 0.514

---

No. 3
# Pr2OsF (PBE-GGA, optimized geometry)
# * electronic total energy: -80.8 eV per cell
# * raw formation energy: -1069.0 meV/atom
data_Pr2OsF
_chemical_formula_sum 'Pr6 Os3 F3'
_symmetry_space_group_name_H-M 'R -3 m'
_symmetry_Int_Tables_number 166
_symmetry_space_group_name_Hall '-R 3 2"'
_cell_length_a 4.0651
_cell_length_b 4.0651
_cell_length_c 19.9547
_cell_angle_alpha 90.00
_cell_angle_beta 90.00
_cell_angle_gamma 120.00
loop_
_atom_site_label
_atom_site_fract_x
_atom_site_fract_y
_atom_site_fract_z
Pr1 0.0000 0.0000 0.2481
Os1 0.0000 0.0000 0.5000
F1 0.0000 0.0000 0.0000

---

No. 4
# SrTcOs2 (PBE-GGA, optimized geometry)
# * formation energy from the elements: 1.0727 eV/atom
# * electronic total energy: -60.4 eV per cell
data_SrTcOs2
_chemical_formula_sum 'Sr2 Tc2 Os4'
_symmetry_space_group_name_H-M 'C m m m'
_symmetry_Int_Tables_number 65
_symmetry_space_group_name_Hall '-C 2 2'
_cell_length_a 6.016
_cell_length_b 8.557
_cell_length_c 2.705
_cell_angle_alpha 90.00
_cell_angle_beta 90.00
_cell_angle_gamma 90.00
loop_
_atom_site_label
_atom_site_fract_x
_atom_site_fract_y
_atom_site_fract_z
Sr1 0.000 0.000 0.000
Tc1 0.000 0.500 0.000
Os1 0.250 0.250 0.500

---

No. 5
# LaPuOs (PBE-GGA, optimized geometry)
# * formation energy from the elements: -0.0564 eV/atom
# * electronic total energy: -183.9 eV per cell
data_LaPuOs
_chemical_formula_sum 'La6 Pu6 Os6'
_symmetry_space_group_name_H-M 'P 1 21/m 1'
_symmetry_Int_Tables_number 11
_symmetry_space_group_name_Hall '-P 2yb'
_cell_length_a 7.492
_cell_length_b 4.550
_cell_length_c 13.022
_cell_angle_alpha 90.00
_cell_angle_beta 90.40
_cell_angle_gamma 90.00
loop_
_atom_site_label
_atom_site_fract_x
_atom_site_fract_y
_atom_site_fract_z
La1 0.007 0.250 0.294
La2 0.362 0.750 0.917
La3 0.485 0.750 0.622
Pu1 0.019 0.250 0.906
Pu2 0.158 0.250 0.547
Pu3 0.350 0.750 0.212
Os1 0.218 0.250 0.097
Os2 0.219 0.750 0.427
Os3 0.289 0.250 0.754

---

No. 6
# Sc2SbRu (PBE-GGA, optimized geometry)
# * electronic total energy: -80.0 eV per cell
# * raw formation energy: -151.1 meV/atom
data_Sc2SbRu
_chemical_formula_sum 'Sc6 Sb3 Ru3'
_symmetry_space_group_name_H-M 'R -3 m'
_symmetry_Int_Tables_number 166
_symmetry_space_group_name_Hall '-R 3 2"'
_cell_length_a 3.3293
_cell_length_b 3.3293
_cell_length_c 28.6400
_cell_angle_alpha 90.00
_cell_angle_beta 90.00
_cell_angle_gamma 120.00
loop_
_atom_site_label
_atom_site_fract_x
_atom_site_fract_y
_atom_site_fract_z
Sc1 0.0000 0.0000 0.1031
Sb1 0.0000 0.0000 0.0000
Ru1 0.0000 0.0000 0.5000

---

Density of states at the Fermi level (computed, states/eV/f.u.): 6.3; 4.0; 2.9; 5.5; 7.2; 4.0